1.
Below is CaTcAu2 after structural relaxation, with properties calculated at the GGA-PBE level.

a b c (Å): 4.7914 4.7914 4.7914
angles (deg): 60.00 60.00 60.00
Last column: nearest neighbours and their distance in Å.
Fractional positions:
Tc1 0.7500 0.7500 0.7500  4 Ca 2.93, 4 Au 2.93
Ca1 0.5000 0.5000 0.5000  4 Au 2.93, 4 Tc 2.93
Au1 0.2500 0.2500 0.2500  4 Au 2.93, 4 Ca 2.93
Au2 0.0000 0.0000 0.0000  4 Tc 2.93, 4 Au 2.93

Properties
calculated density: 11.4 g/cm3
formation energy from the elements: 0.2165 eV/atom
energy relative to the lowest polymorph listed for this composition: 198 meV per atom

---

2.
Below is CrGa2Ru after structural relaxation, with properties calculated at the GGA-PBE level.

a b c (Å): 3.0931 3.0931 5.9237
angles (deg): 90.00 90.00 90.00
Last column: nearest neighbours and their distance in Å.
Fractional positions:
Cr1 0.5000 0.5000 0.5000  8 Ga 2.67, 2 Ru 2.96
Ga1 0.0000 0.0000 0.7588  4 Ru 2.61, 4 Cr 2.67, 1 Ga 2.86
Ga2 0.0000 0.0000 0.2412  4 Ru 2.61, 4 Cr 2.67, 1 Ga 2.86
Ru1 0.5000 0.5000 0.0000  8 Ga 2.61

Properties
calculated density: 8.6 g/cm3
formation energy from the elements: -0.1154 eV/atom

---

3.
Below is CsTl5Pb after structural relaxation, with properties calculated at the GGA-PBE level.

a b c (Å): 4.7814 4.7814 11.7166
angles (deg): 90.00 90.00 90.00
Last column: nearest neighbours and their distance in Å.
Fractional positions:
Pb1 0.5000 0.5000 0.0000  12 Tl 3.38-3.54
Tl1 0.0000 0.5000 0.2230  6 Tl 3.38-3.54, 2 Pb 3.54
Tl2 0.5000 0.0000 0.7770  6 Tl 3.38-3.54, 2 Pb 3.54
Tl3 0.0000 0.0000 0.0000  4 Pb 3.38, 8 Tl 3.54
Tl4 0.5000 0.0000 0.2230  6 Tl 3.38-3.54, 2 Pb 3.54
Tl5 0.0000 0.5000 0.7770  6 Tl 3.38-3.54, 2 Pb 3.54
Cs1 0.0000 0.0000 0.5000  8 Tl 4.03

Properties
calculated density: 8.4 g/cm3
formation energy from the elements: -0.0404 eV/atom
energy relative to the lowest polymorph listed for this composition: 0 meV per atom

---

4.
Below is Nd3Zn2Sn after structural relaxation, with properties calculated at the GGA-PBE level.

a b c (Å): 5.2973 5.2973 13.1435
angles (deg): 90.00 90.00 120.00
Last column: nearest neighbours and their distance in Å.
Fractional positions:
Nd1 0.0000 0.0000 0.7590  5 Zn 3.17-3.40, 3 Sn 3.28
Nd2 0.6667 0.3333 0.0767  7 Zn 3.07-3.24, 1 Sn 3.36
Nd3 0.3333 0.6667 0.9233  7 Zn 3.07-3.24, 1 Sn 3.36
Nd4 0.6667 0.3333 0.5854  4 Sn 3.25-3.33, 4 Zn 3.26-3.38
Nd5 0.3333 0.6667 0.4146  4 Sn 3.25-3.33, 4 Zn 3.26-3.38
Nd6 0.0000 0.0000 0.2410  5 Zn 3.17-3.40, 3 Sn 3.28
Zn1 0.0000 0.0000 0.0000  8 Nd 3.17-3.22
Zn2 0.0000 0.0000 0.5000  8 Nd 3.26-3.40
Zn3 0.6667 0.3333 0.8428  8 Nd 3.07-3.38
Zn4 0.3333 0.6667 0.1572  8 Nd 3.07-3.38
Sn1 0.3333 0.6667 0.6680  8 Nd 3.25-3.36
Sn2 0.6667 0.3333 0.3320  8 Nd 3.25-3.36

Properties
calculated density: 7.1 g/cm3
formation energy from the elements: -0.4467 eV/atom

---

5.
Below is Rb2SiBr5Cl after structural relaxation, with properties calculated at the GGA-PBE level.

a b c (Å): 7.5043 7.5043 7.5043
angles (deg): 90.07 119.96 119.96
Last column: nearest neighbours and their distance in Å.
Fractional positions:
Br1 0.5405 0.7682 0.7682  1 Si 2.44
Br2 0.4595 0.2277 0.2277  1 Si 2.44
Br3 0.0000 0.7682 0.2277  1 Si 2.44
Br4 0.0000 0.2277 0.7682  1 Si 2.44
Br5 0.0000 0.2267 0.2267  1 Si 2.44
Rb1 0.5000 0.2490 0.7490  10 Br 3.75-3.77, 2 Cl 3.78
Rb2 0.5000 0.7490 0.2490  10 Br 3.75-3.77, 2 Cl 3.78
Cl1 0.0000 0.7871 0.7871  1 Si 2.22
Si1 0.0000 0.9966 0.9966  1 Cl 2.22, 5 Br 2.44

Properties
electronic total energy: -28.46 eV/cell
calculated density: 3.5 g/cm3

---

6.
Below is SrLaF2 after structural relaxation, with properties calculated at the GGA-PBE level.

a b c (Å): 7.2346 7.2346 7.2346
angles (deg): 32.51 32.51 32.51
Last column: nearest neighbours and their distance in Å.
Fractional positions:
La1 0.0000 0.0000 0.0000  2 F 2.51
Sr1 0.5000 0.5000 0.5000  6 F 2.51
F1 0.1221 0.1221 0.1221  1 La 2.51, 3 Sr 2.51
F2 0.8779 0.8779 0.8779  1 La 2.51, 3 Sr 2.51

Properties
calculated density: 4.5 g/cm3
energy relative to the lowest polymorph listed for this composition: 0 meV per atom